(1)
Compound: TlIn2MoCl6
Source: OQMD via LeMat-Bulk
Functional: PBE
Structure: optimized geometry

Calculated values
The total magnetic moment comes out at 0.300 μB/atom. For the total energy, the calculation gives -151.36 eV for the cell shown.

CIF file:
```
data_TlIn2MoCl6
_chemical_formula_sum 'Tl4 In8 Mo4 Cl24'
_space_group_name_H-M_alt 'F m -3 m'
_space_group_IT_number 225
_space_group_name_Hall '-F 4 2 3'
_cell_length_a 10.817
_cell_length_b 10.817
_cell_length_c 10.817
_cell_angle_alpha 90.00
_cell_angle_beta 90.00
_cell_angle_gamma 90.00
loop_
_atom_site_label
_atom_site_fract_x
_atom_site_fract_y
_atom_site_fract_z
Tl1 0.000 0.000 0.000
In1 0.250 0.250 0.250
Mo1 0.000 0.000 0.500
Cl1 0.000 0.000 0.275
```

(2)
Compound: AcThAs
Source: OQMD via LeMat-Bulk
Functional: PBE
Structure: optimized geometry

Calculated values
The total magnetic moment comes out at 0.561 μB/atom. For the total energy, the calculation gives -59.62 eV for the cell shown.

CIF file:
```
data_AcThAs
_chemical_formula_sum 'Ac4 Th4 As4'
_space_group_name_H-M_alt 'F -4 3 m'
_space_group_IT_number 216
_space_group_name_Hall 'F -4 2 3'
_cell_length_a 7.429
_cell_length_b 7.429
_cell_length_c 7.429
_cell_angle_alpha 90.00
_cell_angle_beta 90.00
_cell_angle_gamma 90.00
loop_
_atom_site_label
_atom_site_fract_x
_atom_site_fract_y
_atom_site_fract_z
Ac1 0.000 0.000 0.000
Th1 0.250 0.250 0.250
As1 0.000 0.000 0.500
```

(3)
Compound: Nb2Te2O5
Source: OQMD via LeMat-Bulk
Functional: PBE
Structure: optimized geometry

Calculated values
The total magnetic moment comes out at 0.121 μB/atom. For the total energy, the calculation gives -56.03 eV for the cell shown.

CIF file:
```
data_Nb2Te2O5
_chemical_formula_sum 'Nb2 Te2 O5'
_space_group_name_H-M_alt 'P 4/m m m'
_space_group_IT_number 123
_space_group_name_Hall '-P 4 2'
_cell_length_a 3.454
_cell_length_b 3.454
_cell_length_c 9.096
_cell_angle_alpha 90.00
_cell_angle_beta 90.00
_cell_angle_gamma 90.00
loop_
_atom_site_label
_atom_site_fract_x
_atom_site_fract_y
_atom_site_fract_z
Nb1 0.000 0.000 0.000
Nb2 0.000 0.000 0.500
Te1 0.500 0.500 0.186
O1 0.000 0.500 0.337
O2 0.500 0.500 0.500
```